Version w
A relaxed LuCuAu crystal, computed with PBE-GGA.

Output
As for the density of states at the Fermi level: 1.49 states/eV/f.u. As for the total magnetic moment: 0.0000 μB per atom. As for the volume: 58.00 Å³ per cell.

a = 3.3887 Å, b = 4.4457 Å, c = 4.4457 Å
α = 120.00°, β = 90.00°, γ = 90.00°
Closest atoms and distances in Å follow each position.
Fractional coordinates of all 3 atoms:
Lu 0.6667 0.6667 0.3333  6 Au 3.07-3.08, 6 Cu 3.08, 2 Lu 3.39
Au 0.1663 0.3333 0.6667  3 Cu 2.57
Cu 0.1670 0.0000 0.0000  3 Au 2.57

Version x
A relaxed LuCuAu crystal, computed with PBE-GGA.

Output
As for the density of states at the Fermi level: 1.02 states/eV/f.u. As for the total magnetic moment: 0.0000 μB per atom. As for the volume: 55.90 Å³ per cell.

a = 3.5734 Å, b = 3.5734 Å, c = 5.0546 Å
α = 110.70°, β = 110.70°, γ = 90.00°
Closest atoms and distances in Å follow each position.
Fractional coordinates of all 3 atoms:
Au 0.9486 0.9486 0.8971  5 Lu 2.90-2.93, 5 Cu 2.91-2.94
Cu 0.2845 0.2845 0.5690  5 Au 2.91-2.94, 5 Lu 2.91-2.92
Lu 0.6169 0.6169 0.2338  5 Au 2.90-2.93, 5 Cu 2.91-2.92

Most stable = version x

Version w
A relaxed Mg2Cu2Au crystal, computed with PBE-GGA.

Output
As for the density of states at the Fermi level: 1.31 states/eV/f.u. As for the total magnetic moment: 0.0000 μB per atom. As for the volume: 86.14 Å³ per cell.

a = 3.4014 Å, b = 3.4014 Å, c = 7.8243 Å
α = 77.45°, β = 77.45°, γ = 90.00°
Closest atoms and distances in Å follow each position.
Fractional coordinates of all 5 atoms:
Cu 0.7500 0.2500 0.5000  4 Cu 2.41
Au 0.0000 0.0000 0.0000  8 Mg 2.87
Cu 0.2500 0.7500 0.5000  4 Cu 2.41
Mg 0.3954 0.3954 0.2091  4 Cu 2.75, 4 Au 2.87
Mg 0.6046 0.6046 0.7909  4 Cu 2.75, 4 Au 2.87

Version x
A relaxed Mg2Cu2Au crystal, computed with PBE-GGA.

Output
As for the density of states at the Fermi level: 1.30 states/eV/f.u. As for the total magnetic moment: 0.0000 μB per atom. As for the volume: 165.48 Å³ per cell.

a = 6.7680 Å, b = 6.7680 Å, c = 3.6125 Å
α = 90.00°, β = 90.00°, γ = 90.00°
Closest atoms and distances in Å follow each position.
Fractional coordinates of all 10 atoms:
Mg 0.3278 0.1722 0.5000  6 Cu 2.64-2.73
Mg 0.1722 0.6722 0.5000  6 Cu 2.64-2.73
Mg 0.6722 0.8278 0.5000  6 Cu 2.64-2.73
Cu 0.3735 0.8735 0.0000  1 Cu 2.42, 2 Mg 2.64, 2 Au 2.67
Mg 0.8278 0.3278 0.5000  6 Cu 2.64-2.73
Au 0.0000 0.0000 0.0000  4 Cu 2.67
Au 0.5000 0.5000 0.0000  4 Cu 2.67
Cu 0.1265 0.3735 0.0000  1 Cu 2.42, 2 Mg 2.64, 2 Au 2.67
Cu 0.8735 0.6265 0.0000  1 Cu 2.42, 2 Mg 2.64, 2 Au 2.67
Cu 0.6265 0.1265 0.0000  1 Cu 2.42, 2 Mg 2.64, 2 Au 2.67

Most stable = version x

Version w
A relaxed Mg2Cu2Au crystal, computed with PBE-GGA.

Output
As for the density of states at the Fermi level: 1.15 states/eV/f.u. As for the total magnetic moment: 0.0000 μB per atom. As for the volume: 87.17 Å³ per cell.

a = 3.8990 Å, b = 3.8990 Å, c = 6.3621 Å
α = 72.16°, β = 72.16°, γ = 90.00°
Closest atoms and distances in Å follow each position.
Fractional coordinates of all 5 atoms:
Mg 0.2500 0.7500 0.5000  4 Cu 2.61, 4 Mg 2.76
Cu 0.5992 0.5992 0.8016  1 Cu 2.28
Au 0.0000 0.0000 0.0000  8 Cu 2.98
Mg 0.7500 0.2500 0.5000  4 Cu 2.61, 4 Mg 2.76
Cu 0.4008 0.4008 0.1984  1 Cu 2.28

Version x
A relaxed Mg2Cu2Au crystal, computed with PBE-GGA.

Output
As for the density of states at the Fermi level: 1.92 states/eV/f.u. As for the total magnetic moment: 0.0000 μB per atom. As for the volume: 165.59 Å³ per cell.

a = 7.2923 Å, b = 7.2923 Å, c = 3.1139 Å
α = 90.00°, β = 90.00°, γ = 90.00°
Closest atoms and distances in Å follow each position.
Fractional coordinates of all 10 atoms:
Mg 0.3432 0.8432 0.0000  6 Cu 2.64-2.66, 2 Au 2.75
Cu 0.8661 0.3661 0.5000  6 Mg 2.64-2.66, 1 Cu 2.76
Mg 0.1568 0.3432 0.0000  6 Cu 2.64-2.66, 2 Au 2.75
Mg 0.8432 0.6568 0.0000  6 Cu 2.64-2.66, 2 Au 2.75
Au 0.0000 0.0000 0.0000  4 Mg 2.75
Cu 0.6339 0.8661 0.5000  6 Mg 2.64-2.66, 1 Cu 2.76
Mg 0.6568 0.1568 0.0000  6 Cu 2.64-2.66, 2 Au 2.75
Cu 0.1339 0.6339 0.5000  6 Mg 2.64-2.66, 1 Cu 2.76
Cu 0.3661 0.1339 0.5000  6 Mg 2.64-2.66, 1 Cu 2.76
Au 0.5000 0.5000 0.0000  4 Mg 2.75

Most stable = version x

Version w
A relaxed MgCu2Au6 crystal, computed with PBE-GGA.

Output
As for the density of states at the Fermi level: 3.50 states/eV/f.u. As for the total magnetic moment: 0.0000 μB per atom. As for the volume: 305.77 Å³ per cell.

a = 4.9407 Å, b = 8.0821 Å, c = 8.0817 Å
α = 73.38°, β = 83.13°, γ = 83.12°
Closest atoms and distances in Å follow each position.
Fractional coordinates of all 18 atoms:
Au 0.6549 0.1039 0.3530  4 Cu 2.74-2.89, 5 Au 2.79-2.88, 1 Mg 2.93
Au 0.1954 0.9863 0.2442  2 Cu 2.80-2.81, 5 Au 2.81-2.96, 3 Mg 2.84-2.92
Au 0.3046 0.7558 0.0137  2 Cu 2.80-2.81, 5 Au 2.81-2.96, 3 Mg 2.84-2.92
Au 0.4768 0.6783 0.4301  4 Cu 2.73-2.98, 5 Au 2.77-2.85, 1 Mg 2.82
Au 0.8451 0.6470 0.8961  4 Cu 2.74-2.89, 5 Au 2.79-2.88, 1 Mg 2.93
Mg 0.7500 0.8756 0.1244  10 Au 2.82-2.93
Au 0.8046 0.0137 0.7558  2 Cu 2.80-2.81, 5 Au 2.81-2.96, 3 Mg 2.84-2.92
Au 0.1549 0.3530 0.1039  4 Cu 2.74-2.89, 5 Au 2.79-2.88, 1 Mg 2.93
Mg 0.2500 0.1244 0.8756  10 Au 2.82-2.93
Cu 0.9039 0.7913 0.5401  10 Au 2.73-2.98
Cu 0.5961 0.4599 0.2087  10 Au 2.73-2.98
Au 0.5232 0.3217 0.5699  4 Cu 2.73-2.98, 5 Au 2.77-2.85, 1 Mg 2.82
Au 0.9768 0.4301 0.6783  4 Cu 2.73-2.98, 5 Au 2.77-2.85, 1 Mg 2.82
Au 0.0232 0.5699 0.3217  4 Cu 2.73-2.98, 5 Au 2.77-2.85, 1 Mg 2.82
Cu 0.0961 0.2087 0.4599  10 Au 2.73-2.98
Au 0.3451 0.8961 0.6470  4 Cu 2.74-2.89, 5 Au 2.79-2.88, 1 Mg 2.93
Cu 0.4039 0.5401 0.7913  10 Au 2.73-2.98
Au 0.6954 0.2442 0.9863  2 Cu 2.80-2.81, 5 Au 2.81-2.96, 3 Mg 2.84-2.92

Version x
A relaxed MgCu2Au6 crystal, computed with PBE-GGA.

Output
As for the density of states at the Fermi level: 3.15 states/eV/f.u. As for the total magnetic moment: 0.0000 μB per atom. As for the volume: 150.85 Å³ per cell.

a = 4.1335 Å, b = 4.8992 Å, c = 8.7396 Å
α = 71.19°, β = 76.32°, γ = 65.05°
Closest atoms and distances in Å follow each position.
Fractional coordinates of all 9 atoms:
Au 0.3372 0.9276 0.3981  3 Mg 2.79-2.89, 4 Cu 2.80-2.91, 5 Au 2.87-2.92
Mg 0.0000 0.5000 0.5000  8 Au 2.72-2.89, 4 Cu 2.98
Au 0.6669 0.7228 0.9434  3 Cu 2.81-2.86, 9 Au 2.85-2.99
Au 0.6628 0.0724 0.6019  3 Mg 2.79-2.89, 4 Cu 2.80-2.91, 5 Au 2.87-2.92
Au 0.9985 0.1834 0.8196  1 Mg 2.72, 3 Cu 2.79-2.81, 7 Au 2.85-2.99
Au 0.3331 0.2772 0.0566  3 Cu 2.81-2.86, 9 Au 2.85-2.99
Au 0.0015 0.8166 0.1804  1 Mg 2.72, 3 Cu 2.79-2.81, 7 Au 2.85-2.99
Cu 0.3247 0.6211 0.7296  10 Au 2.79-2.91, 2 Mg 2.98
Cu 0.6753 0.3789 0.2704  10 Au 2.79-2.91, 2 Mg 2.98

Most stable = version x

Version w
A relaxed Mg8CuAu2 crystal, computed with PBE-GGA.

Output
As for the density of states at the Fermi level: 2.76 states/eV/f.u. As for the total magnetic moment: 0.0000 μB per atom. As for the volume: 216.90 Å³ per cell.

a = 4.6280 Å, b = 6.6496 Å, c = 8.0281 Å
α = 112.48°, β = 106.75°, γ = 90.00°
Closest atoms and distances in Å follow each position.
Fractional coordinates of all 11 atoms:
Au 0.8210 0.3244 0.6420  9 Mg 2.76-2.99
Mg 0.6637 0.9323 0.3274  1 Cu 2.73, 3 Au 2.76-2.94, 2 Mg 3.04-3.06
Mg 0.1901 0.2695 0.3802  3 Au 2.77-2.99, 4 Mg 3.02-3.10
Mg 0.3363 0.0677 0.6726  1 Cu 2.73, 3 Au 2.76-2.94, 2 Mg 3.04-3.06
Mg 0.0211 0.7802 0.0423  1 Au 2.78, 2 Cu 2.82, 4 Mg 2.96-3.07
Mg 0.3989 0.5654 0.7979  1 Cu 2.68, 2 Au 2.80, 2 Mg 2.96
Mg 0.8099 0.7305 0.6198  3 Au 2.77-2.99, 4 Mg 3.02-3.10
Mg 0.9789 0.2198 0.9577  1 Au 2.78, 2 Cu 2.82, 4 Mg 2.96-3.07
Mg 0.6011 0.4346 0.2021  1 Cu 2.68, 2 Au 2.80, 2 Mg 2.96
Au 0.1790 0.6756 0.3580  9 Mg 2.76-2.99
Cu 0.5000 0.0000 0.0000  8 Mg 2.68-2.82

Version x
A relaxed Mg8CuAu2 crystal, computed with PBE-GGA.

Output
As for the density of states at the Fermi level: 3.48 states/eV/f.u. As for the total magnetic moment: 0.0000 μB per atom. As for the volume: 215.96 Å³ per cell.

a = 4.4808 Å, b = 7.5356 Å, c = 7.7540 Å
α = 119.07°, β = 106.79°, γ = 90.00°
Closest atoms and distances in Å follow each position.
Fractional coordinates of all 11 atoms:
Mg 0.1443 0.1443 0.2887  2 Cu 2.90, 8 Mg 2.96-3.07, 2 Au 3.08
Cu 0.5000 0.0000 0.0000  12 Mg 2.90-3.22
Mg 0.0000 0.3065 0.0000  2 Au 2.84, 7 Mg 2.92-3.02
Mg 0.0000 0.6935 0.0000  2 Au 2.84, 7 Mg 2.92-3.02
Mg 0.3430 0.1199 0.6860  3 Au 2.83-2.85, 1 Cu 2.90, 5 Mg 3.02-3.07
Mg 0.6570 0.8801 0.3140  3 Au 2.83-2.85, 1 Cu 2.90, 5 Mg 3.02-3.07
Au 0.8092 0.3092 0.6184  10 Mg 2.83-3.08
Mg 0.3430 0.5661 0.6860  3 Au 2.83-2.85, 1 Cu 2.90, 5 Mg 3.02-3.07
Mg 0.6570 0.4339 0.3140  3 Au 2.83-2.85, 1 Cu 2.90, 5 Mg 3.02-3.07
Mg 0.8557 0.8557 0.7113  2 Cu 2.90, 8 Mg 2.96-3.07, 2 Au 3.08
Au 0.1908 0.6908 0.3816  10 Mg 2.83-3.08

Most stable = version w